(1)
Compound: TbAuSeO
Source: the Open Quantum Materials Database
Functional: PBE-GGA
Structure: optimized geometry

The space group is P4bm (No. 100) and the conventional cell measures 5.582, 5.582 and 9.543 Å, with angles of 90.00, 90.00 and 90.00 degrees. Symmetry generates all atoms from Tb at (0.000, 0.000, 0.000), Tb at (0.000, 0.500, 0.236), Au at (0.182, 0.318, 0.608), Se at (0.000, 0.000, 0.404), Se at (0.000, 0.500, 0.839) and O at (0.249, 0.251, 0.119).



(2)
Compound: TbAuSeO
Source: the Open Quantum Materials Database
Functional: PBE-GGA
Structure: optimized geometry

The space group is P4/nmm (No. 129, origin choice 2) and the conventional cell measures 3.954, 3.954 and 9.432 Å, with angles of 90.00, 90.00 and 90.00 degrees. Symmetry generates all atoms from Tb at (0.250, 0.250, 0.119), Au at (0.250, 0.750, 0.500), Se at (0.250, 0.250, 0.717) and O at (0.250, 0.750, 0.000).



(3)
Compound: TbAuSeO
Source: the Open Quantum Materials Database
Functional: PBE-GGA
Structure: optimized geometry

The space group is Pba2 (No. 32) and the conventional cell measures 5.633, 5.649 and 9.556 Å, with angles of 90.00, 90.00 and 90.00 degrees. Symmetry generates all atoms from Tb at (0.000, 0.000, 0.000), Tb at (0.000, 0.500, 0.231), Au at (0.250, 0.013, 0.616), Se at (0.000, 0.000, 0.394), Se at (0.000, 0.500, 0.838) and O at (0.250, 0.250, 0.116).



no.,M_tot (μB/f.u.),energy above the most stable polymorph in this dataset (eV/f.u.)
1,0.00,0.20
2,0.00,0.33
3,0.00,0.00